VASP calculation (PBE) on a geometry-optimized Tl5In2I12 structure.

Geometry as POSCAR:
```
Tl5In2I12
1.0
9.3273 -4.4287 0.0000
9.3273 4.4287 0.0000
-3.3431 0.0000 10.3736
Tl In I
5 2 12
Cartesian
0.0000 0.0000 0.0000
4.9099 0.0000 1.3781
3.6112 0.0000 7.1498
11.7002 0.0000 3.2239
10.4016 0.0000 8.9955
7.6557 2.1893 5.1868
7.6557 -2.1893 5.1868
-2.1899 0.0000 7.1705
4.9005 2.1465 4.4418
3.6943 2.2265 9.7918
11.6172 2.2265 0.5819
10.4109 2.1465 5.9318
8.1924 0.0000 3.1238
7.1190 0.0000 7.2498
4.9005 -2.1465 4.4418
3.6943 -2.2265 9.7918
11.6172 -2.2265 0.5819
10.4109 -2.1465 5.9318
17.5013 0.0000 3.2032
```

Values from the calculation:
The calculation puts the theoretical density at 5.4 g/cm³. The value obtained for the total magnetization is 0.00 μB per cell. As for the uncorrected formation energy: -0.50 eV/atom. The calculation puts the density of states at the Fermi level at 6.0 states/eV/cell. Its volume is 857 Å³/cell.

***

VASP calculation (PBE) on a geometry-optimized ZrNbRh2 structure.

Geometry as POSCAR:
```
ZrNbRh2
1.0
7.1758 0.0000 0.0000
0.0000 7.1758 0.0000
0.0000 0.0000 5.6791
Zr Nb Rh
4 4 8
Cartesian
0.0000 0.0000 0.0000
0.0000 3.5879 1.4198
3.5879 0.0000 4.2593
3.5879 3.5879 2.8395
0.0000 0.0000 2.8395
0.0000 3.5879 4.2593
3.5879 0.0000 1.4198
3.5879 3.5879 0.0000
1.6640 1.7939 3.5494
1.7939 5.2519 4.9692
1.7939 5.5118 2.1296
1.9239 1.7939 0.7099
5.2519 5.3818 0.7099
5.3818 1.6640 2.1296
5.3818 1.9239 4.9692
5.5118 5.3818 3.5494
```

Values from the calculation:
The calculation puts the theoretical density at 8.9 g/cm³. The value obtained for the total magnetization is 0.00 μB per cell. The calculation puts the density of states at the Fermi level at 24.4 states/eV/cell. Its volume is 292 Å³/cell. As for the energy of formation: -0.139 eV/atom. The offset from the most stable computed form is 381 meV/atom.

***

VASP calculation (PBE) on a geometry-optimized SrLiGe2 structure.

Geometry as POSCAR:
```
SrLiGe2
1.0
7.2124 0.0000 0.0000
0.0000 4.4839 0.0000
0.0000 0.0000 11.6093
Sr Li Ge
4 4 8
Cartesian
0.9929 1.1210 1.6740
2.6133 3.3629 7.4787
4.5990 1.1210 4.1306
6.2195 3.3629 9.9353
0.8952 1.1210 5.1013
2.7110 3.3629 10.9060
4.5014 1.1210 0.7034
6.3171 3.3629 6.5081
0.2617 1.1210 7.6713
1.3742 1.1210 9.9507
2.2320 3.3629 4.1461
3.3445 3.3629 1.8666
3.8679 1.1210 9.7427
4.9803 1.1210 7.4633
5.8382 3.3629 1.6586
6.9506 3.3629 3.9380
```

Values from the calculation:
The calculation puts the theoretical density at 4.2 g/cm³. The value obtained for the total magnetization is 0.00 μB per cell. The calculation puts the density of states at the Fermi level at 3.6 states/eV/cell. Its volume is 375 Å³/cell. As for the energy of formation: -0.535 eV/atom. The offset from the most stable computed form is 0 meV/atom.